Entry 1:
Entry from Alexandria: a relaxed SnMoNF2 crystal (GGA-PBEsol).

abc: 4.1959 4.1959 3.9078
angles: 90.00 90.00 90.00
With the nearest neighbours (Å) after each atom.
Fractional coordinates of all 5 atoms:
1 Sn 0.0000 0.0000 0.0000  8 F 2.87, 4 N 2.97
2 Mo 0.5000 0.5000 0.5000  2 N 1.95, 4 F 2.10
3 N 0.5000 0.5000 0.0000  2 Mo 1.95
4 F 0.0000 0.5000 0.5000  2 Mo 2.10
5 F 0.5000 0.0000 0.5000  2 Mo 2.10

Values from the calculation:
- Raw total energy: -6.532 eV/atom
- Total magnetization: 0.00 μB per atom
- Space group: P4/mmm, No. 123
- Uncorrected formation energy: -0.8500 eV/atom
- Mass density: 6436 kg/m³

***

Entry 2:
Entry from Alexandria: a relaxed SrMoN2F crystal (GGA-PBEsol).

abc: 3.9630 3.9630 4.1253
angles: 90.00 90.00 90.00
With the nearest neighbours (Å) after each atom.
Fractional coordinates of all 5 atoms:
1 Sr 0.0000 0.0000 0.0000  4 F 2.80, 8 N 2.86
2 Mo 0.5000 0.5000 0.5000  4 N 1.98, 2 F 2.06
3 N 0.0000 0.5000 0.5000  2 Mo 1.98
4 N 0.5000 0.0000 0.5000  2 Mo 1.98
5 F 0.5000 0.5000 0.0000  2 Mo 2.06

Values from the calculation:
- Raw total energy: -7.806 eV/atom
- Total magnetization: 0.00 μB per atom
- Space group: P4/mmm, No. 123
- Uncorrected formation energy: -1.2881 eV/atom
- Mass density: 5909 kg/m³